DFT (PBE) results for CeSmC after structural relaxation.

Properties
raw total energy: -6.447 eV per atom
polymorph energy (0 for the lowest one): 321 meV/atom
E_form: 0.178 eV per atom

```
data_CeSmC
_space_group_name_H-M_alt 'F -4 3 m'
_space_group_IT_number 216
_space_group_name_Hall 'F -4 2 3'
_cell_length_a 6.221
_cell_length_b 6.221
_cell_length_c 6.221
_cell_angle_alpha 90.00
_cell_angle_beta 90.00
_cell_angle_gamma 90.00
loop_
_atom_site_label
_atom_site_type_symbol
_atom_site_fract_x
_atom_site_fract_y
_atom_site_fract_z
Ce1 Ce 0.000 0.000 0.000
Sm1 Sm 0.000 0.000 0.500
C1 C 0.250 0.250 0.750
```